Entry i
First-principles (PBE) data for AgPtSeO after structural relaxation, as listed in OQMD.

Cell and atoms, written as CIF:
```
data_AgPtSeO
_chemical_formula_sum 'Ag4 Pt4 Se4 O4'
_cell_length_a 6.044
_cell_length_b 6.482
_cell_length_c 8.170
_cell_angle_alpha 90.00
_cell_angle_beta 90.00
_cell_angle_gamma 90.00
_symmetry_space_group_name_H-M 'P 21 21 21'
_symmetry_Int_Tables_number 19
_symmetry_space_group_name_Hall 'P 2ac 2ab'
loop_
_atom_site_label
_atom_site_fract_x
_atom_site_fract_y
_atom_site_fract_z
Ag1 0.002 0.044 0.416
Pt1 0.001 0.177 0.749
Se1 0.222 0.576 0.360
O1 0.156 0.927 0.822
```



Entry ii
First-principles (PBE) data for AgPtSeO after structural relaxation, as listed in OQMD.

Cell and atoms, written as CIF:
```
data_AgPtSeO
_chemical_formula_sum 'Ag4 Pt4 Se4 O4'
_cell_length_a 6.077
_cell_length_b 8.597
_cell_length_c 5.260
_cell_angle_alpha 90.00
_cell_angle_beta 90.00
_cell_angle_gamma 90.00
_symmetry_space_group_name_H-M 'P c a 21'
_symmetry_Int_Tables_number 29
_symmetry_space_group_name_Hall 'P 2c -2ac'
loop_
_atom_site_label
_atom_site_fract_x
_atom_site_fract_y
_atom_site_fract_z
Ag1 0.026 0.160 0.000
Pt1 0.147 0.381 0.625
Se1 0.076 0.838 0.986
O1 0.137 0.522 0.313
```



Entry iii
First-principles (PBE) data for AgPtSeO after structural relaxation, as listed in OQMD.

Cell and atoms, written as CIF:
```
data_AgPtSeO
_chemical_formula_sum 'Ag2 Pt2 Se2 O2'
_cell_length_a 3.848
_cell_length_b 3.848
_cell_length_c 8.730
_cell_angle_alpha 90.00
_cell_angle_beta 90.00
_cell_angle_gamma 90.00
_symmetry_space_group_name_H-M 'P 4/n m m'
_symmetry_Int_Tables_number 129
loop_
_symmetry_equiv_pos_as_xyz
'x,y,z'
'-x,-y,-z'
'-y+1/2,x,z'
'y+1/2,-x,-z'
'-x+1/2,-y+1/2,z'
'x+1/2,y+1/2,-z'
'y,-x+1/2,z'
'-y,x+1/2,-z'
'x+1/2,-y,-z'
'-x+1/2,y,z'
'-y,-x,-z'
'y,x,z'
'-x,y+1/2,-z'
'x,-y+1/2,z'
'y+1/2,x+1/2,-z'
'-y+1/2,-x+1/2,z'
loop_
_atom_site_label
_atom_site_fract_x
_atom_site_fract_y
_atom_site_fract_z
Ag1 0.250 0.750 0.000
Pt1 0.250 0.250 0.252
Se1 0.250 0.250 0.696
O1 0.250 0.250 0.502
```



Entry iv
First-principles (PBE) data for AgPtSeO after structural relaxation, as listed in OQMD.

Cell and atoms, written as CIF:
```
data_AgPtSeO
_chemical_formula_sum 'Ag2 Pt2 Se2 O2'
_cell_length_a 4.213
_cell_length_b 4.213
_cell_length_c 8.178
_cell_angle_alpha 90.00
_cell_angle_beta 90.00
_cell_angle_gamma 90.00
_symmetry_space_group_name_H-M 'P 4/n m m'
_symmetry_Int_Tables_number 129
loop_
_symmetry_equiv_pos_as_xyz
'x,y,z'
'-x,-y,-z'
'-y+1/2,x,z'
'y+1/2,-x,-z'
'-x+1/2,-y+1/2,z'
'x+1/2,y+1/2,-z'
'y,-x+1/2,z'
'-y,x+1/2,-z'
'x+1/2,-y,-z'
'-x+1/2,y,z'
'-y,-x,-z'
'y,x,z'
'-x,y+1/2,-z'
'x,-y+1/2,z'
'y+1/2,x+1/2,-z'
'-y+1/2,-x+1/2,z'
loop_
_atom_site_label
_atom_site_fract_x
_atom_site_fract_y
_atom_site_fract_z
Ag1 0.250 0.250 0.186
Pt1 0.250 0.250 0.688
Se1 0.250 0.750 0.500
O1 0.250 0.250 0.920
```



Verdict on stability: entry iv comes out at the bottom.



Entry i
First-principles (PBE) data for AgPtSeO after structural relaxation, as listed in OQMD.

Cell and atoms, written as CIF:
```
data_AgPtSeO
_chemical_formula_sum 'Ag2 Pt2 Se2 O2'
_cell_length_a 4.448
_cell_length_b 4.448
_cell_length_c 7.180
_cell_angle_alpha 90.00
_cell_angle_beta 90.00
_cell_angle_gamma 90.00
_symmetry_space_group_name_H-M 'P 4/n m m'
_symmetry_Int_Tables_number 129
loop_
_symmetry_equiv_pos_as_xyz
'x,y,z'
'-x,-y,-z'
'-y+1/2,x,z'
'y+1/2,-x,-z'
'-x+1/2,-y+1/2,z'
'x+1/2,y+1/2,-z'
'y,-x+1/2,z'
'-y,x+1/2,-z'
'x+1/2,-y,-z'
'-x+1/2,y,z'
'-y,-x,-z'
'y,x,z'
'-x,y+1/2,-z'
'x,-y+1/2,z'
'y+1/2,x+1/2,-z'
'-y+1/2,-x+1/2,z'
loop_
_atom_site_label
_atom_site_fract_x
_atom_site_fract_y
_atom_site_fract_z
Ag1 0.250 0.250 0.248
Pt1 0.250 0.750 0.500
Se1 0.250 0.250 0.707
O1 0.250 0.250 0.945
```



Entry ii
First-principles (PBE) data for AgPtSeO after structural relaxation, as listed in OQMD.

Cell and atoms, written as CIF:
```
data_AgPtSeO
_chemical_formula_sum 'Ag4 Pt4 Se4 O4'
_cell_length_a 6.206
_cell_length_b 7.245
_cell_length_c 5.953
_cell_angle_alpha 90.00
_cell_angle_beta 90.00
_cell_angle_gamma 90.00
_symmetry_space_group_name_H-M 'P c a 21'
_symmetry_Int_Tables_number 29
_symmetry_space_group_name_Hall 'P 2c -2ac'
loop_
_atom_site_label
_atom_site_fract_x
_atom_site_fract_y
_atom_site_fract_z
Ag1 0.197 0.157 0.000
Pt1 0.117 0.704 0.882
Se1 0.010 0.596 0.251
O1 0.194 0.875 0.586
```



Verdict on stability: entry i comes out at the bottom.



Entry i
First-principles (PBE) data for Rb2AgO2 after structural relaxation, as listed in OQMD.

Cell and atoms, written as CIF:
```
data_Rb2AgO2
_chemical_formula_sum 'Rb8 Ag4 O8'
_cell_length_a 5.624
_cell_length_b 7.237
_cell_length_c 10.784
_cell_angle_alpha 90.00
_cell_angle_beta 90.00
_cell_angle_gamma 90.00
_symmetry_space_group_name_H-M 'P 21 21 21'
_symmetry_Int_Tables_number 19
_symmetry_space_group_name_Hall 'P 2ac 2ab'
loop_
_atom_site_label
_atom_site_fract_x
_atom_site_fract_y
_atom_site_fract_z
Rb1 0.014 0.051 0.310
Rb2 0.027 0.633 0.874
Ag1 0.036 0.153 0.002
O1 0.038 0.883 0.075
O2 0.201 0.749 0.632
```



Entry ii
First-principles (PBE) data for Rb2AgO2 after structural relaxation, as listed in OQMD.

Cell and atoms, written as CIF:
```
data_Rb2AgO2
_chemical_formula_sum 'Rb4 Ag2 O4'
_cell_length_a 10.118
_cell_length_b 3.470
_cell_length_c 5.922
_cell_angle_alpha 90.00
_cell_angle_beta 105.76
_cell_angle_gamma 90.00
_symmetry_space_group_name_H-M 'C 1 2/m 1'
_symmetry_Int_Tables_number 12
_symmetry_space_group_name_Hall '-C 2y'
loop_
_atom_site_label
_atom_site_fract_x
_atom_site_fract_y
_atom_site_fract_z
Rb1 0.168 0.000 0.194
Ag1 0.000 0.500 0.500
O1 0.110 0.000 0.697
```



Verdict on stability: entry i comes out at the bottom.



Entry i
First-principles (PBE) data for Re2Ag2O5 after structural relaxation, as listed in OQMD.

Cell and atoms, written as CIF:
```
data_Re2Ag2O5
_chemical_formula_sum 'Re2 Ag2 O5'
_cell_length_a 3.850
_cell_length_b 3.850
_cell_length_c 7.509
_cell_angle_alpha 90.00
_cell_angle_beta 90.00
_cell_angle_gamma 90.00
_symmetry_space_group_name_H-M 'P 4/m m m'
_symmetry_Int_Tables_number 123
_symmetry_space_group_name_Hall '-P 4 2'
loop_
_atom_site_label
_atom_site_fract_x
_atom_site_fract_y
_atom_site_fract_z
Re1 0.000 0.000 0.222
Ag1 0.500 0.500 0.000
Ag2 0.500 0.500 0.500
O1 0.000 0.000 0.500
O2 0.000 0.500 0.221
```



Entry ii
First-principles (PBE) data for Re2Ag2O5 after structural relaxation, as listed in OQMD.

Cell and atoms, written as CIF:
```
data_Re2Ag2O5
_chemical_formula_sum 'Re2 Ag2 O5'
_cell_length_a 3.296
_cell_length_b 3.296
_cell_length_c 10.306
_cell_angle_alpha 90.00
_cell_angle_beta 90.00
_cell_angle_gamma 90.00
_symmetry_space_group_name_H-M 'P 4/m m m'
_symmetry_Int_Tables_number 123
_symmetry_space_group_name_Hall '-P 4 2'
loop_
_atom_site_label
_atom_site_fract_x
_atom_site_fract_y
_atom_site_fract_z
Re1 0.000 0.000 0.000
Re2 0.000 0.000 0.500
Ag1 0.500 0.500 0.221
O1 0.000 0.500 0.388
O2 0.500 0.500 0.000
```



Verdict on stability: entry ii comes out at the bottom.